#one
Te2PbSe2 | GGA-PBE | relaxed

Computed properties:
* symmetry: I4/mmm

abc: 5.7273 5.7273 6.4635
angles: 63.70 63.70 90.00
Element x y z (fractional)
Pb  0.0000  0.0000  0.0000
Te  0.3111  0.3111  0.3777
Te  0.6889  0.6889  0.6223
Se  0.7500  0.2500  0.5000
Se  0.2500  0.7500  0.5000

---

#two
Te2PbSe2 | GGA-PBE | relaxed

Computed properties:
* symmetry: I4/mmm

abc: 4.2268 4.2268 10.0334
angles: 77.84 77.84 90.00
Element x y z (fractional)
Pb  0.0000  0.0000  0.0000
Te  0.7500  0.2500  0.5000
Te  0.2500  0.7500  0.5000
Se  0.4363  0.4363  0.1273
Se  0.5637  0.5637  0.8727

---

Most stable to least stable, the ends of the list are #two and #one.

---

#one
Te3PbSe | GGA-PBE | relaxed

Computed properties:
* symmetry: Pm-3m

abc: 5.8589 5.8589 5.8589
angles: 90.00 90.00 90.00
Last column: magnetic moment on the atom in μB.
Element x y z (fractional)
Pb  0.0000  0.0000  0.0000  -0.01
Te  0.0000  0.5000  0.0000  0.04
Te  0.0000  0.0000  0.5000  0.10
Te  0.5000  0.0000  0.0000  0.06
Se  0.5000  0.5000  0.5000  0.92

---

#two
Te3PbSe | GGA-PBE | relaxed

Computed properties:
* symmetry: Pm-3m

abc: 5.4975 5.4975 5.4975
angles: 90.00 90.00 90.00
Element x y z (fractional)
Pb  0.5000  0.5000  0.5000
Te  0.0000  0.5000  0.0000
Te  0.0000  0.0000  0.5000
Te  0.5000  0.0000  0.0000
Se  0.0000  0.0000  0.0000

---

Most stable to least stable, the ends of the list are #two and #one.

---

#one
Th2PbSe | GGA-PBE | relaxed

Computed properties:
* symmetry: P4/mmm

abc: 3.6424 3.6424 8.2194
angles: 90.00 90.00 90.00
Element x y z (fractional)
Pb  0.5000  0.5000  0.5000
Se  0.5000  0.5000  0.0000
Th  0.0000  0.0000  0.7722
Th  0.0000  0.0000  0.2278

---

#two
Th2PbSe | GGA-PBE | relaxed

Computed properties:
* symmetry: R-3m

abc: 4.4445 4.4445 7.5047
angles: 72.78 72.78 60.00
Element x y z (fractional)
Pb  0.5000  0.5000  0.5000
Se  0.0000  0.0000  0.0000
Th  0.2587  0.2587  0.2238
Th  0.7413  0.7413  0.7762

---

#three
Th2PbSe | GGA-PBE | relaxed

Computed properties:
* symmetry: R3m

abc: 4.3579 4.3579 7.8397
angles: 73.86 73.86 60.00
Element x y z (fractional)
Th  0.0729  0.0729  0.7814
Th  0.2593  0.2593  0.2221
Pb  0.4991  0.4991  0.5028
Se  0.6687  0.6687  0.9938

---

Most stable to least stable, the ends of the list are #two and #one.